Dy5Sn2Pb2: relaxed, GGA-PBE.

abc: 15.6141 8.1967 8.1812
angles: 90.00 90.00 90.00
Last column: nearest neighbours and their distance in Å.
Space group Cmce (No. 64)
Unique sites:
Dy (0.0000, 0.0000, 0.0000) [4 per cell]  4 Sn 3.19-3.20, 2 Pb 3.24
Dy (0.1347, 0.1699, 0.3320) [16 per cell]  3 Sn 3.10-3.27, 3 Pb 3.14-3.26
Sn (0.0000, 0.1335, 0.6343) [8 per cell]  1 Sn 3.10, 8 Dy 3.10-3.27
Pb (0.2076, 0.0000, 0.0000) [8 per cell]  7 Dy 3.14-3.26

The density of states at the Fermi level is 4.9 states/eV/f.u. The energy of formation from the pure elements comes out at -0.652 eV per atom.

=====

Dy10Sn3Pb3: relaxed, GGA-PBE.

abc: 9.0120 9.0120 6.5953
angles: 90.00 90.00 120.00
Last column: nearest neighbours and their distance in Å.
Space group P-62m (No. 189)
Unique sites:
Dy (0.0000, 0.2373, 0.0000) [3 per cell]  3 Sn 3.10-3.32
Dy (0.0000, 0.7630, 0.5000) [3 per cell]  3 Pb 3.11-3.31
Dy (0.3333, 0.6667, 0.2471) [4 per cell]  3 Sn 3.21, 3 Pb 3.23, 2 Dy 3.26-3.34
Sn (0.0000, 0.6055, 0.0000) [3 per cell]  7 Dy 3.10-3.32
Pb (0.0000, 0.3955, 0.5000) [3 per cell]  7 Dy 3.11-3.31

The density of states at the Fermi level is 8.8 states/eV/f.u. The energy of formation from the pure elements comes out at -0.631 eV per atom.

=====

Dy8Sn5Pb: relaxed, GGA-PBE.

abc: 9.3035 9.3035 9.3084
angles: 90.00 90.00 90.00
Last column: nearest neighbours and their distance in Å.
Space group I-4 (No. 82)
Unique sites:
Dy (0.0711, 0.1802, 0.1935) [8 per cell]  5 Sn 3.09-3.35, 1 Pb 3.37
Dy (0.0711, 0.3227, 0.5540) [8 per cell]  5 Sn 3.10-3.35, 1 Pb 3.12
Sn (0.0000, 0.5000, 0.2500) [2 per cell]  8 Dy 3.09-3.34
Sn (0.1254, 0.2500, 0.8740) [8 per cell]  8 Dy 3.09-3.35
Pb (0.0000, 0.0000, 0.5000) [2 per cell]  8 Dy 3.12-3.37

The density of states at the Fermi level is 1.2 states/eV/f.u. The energy of formation from the pure elements comes out at -0.697 eV per atom.

=====

DySn2Pb: relaxed, GGA-PBE.

abc: 6.9172 8.7648 3.6688
angles: 90.00 90.00 90.00
Last column: nearest neighbours and their distance in Å.
Space group Cmmm (No. 65)
Unique sites:
Dy (0.0000, 0.0000, 0.0000) [2 per cell]  8 Sn 3.34, 2 Pb 3.46, 2 Dy 3.67
Sn (0.2500, 0.2500, 0.5000) [4 per cell]  4 Dy 3.34, 4 Pb 3.34, 4 Sn 3.46-3.67
Pb (0.0000, 0.5000, 0.0000) [2 per cell]  8 Sn 3.34, 2 Dy 3.46, 2 Pb 3.67

The density of states at the Fermi level is 1.9 states/eV/f.u. The energy of formation from the pure elements comes out at -0.303 eV per atom.

=====

Dy7Sn2Pb2: relaxed, GGA-PBE.

abc: 8.9107 11.1051 7.2227
angles: 90.00 90.00 90.00
Last column: nearest neighbours and their distance in Å.
Space group Cmmm (No. 65)
Unique sites:
Dy (0.0000, 0.0000, 0.0000) [2 per cell]  2 Sn 3.09
Dy (0.0000, 0.5000, 0.2619) [4 per cell]  2 Sn 3.10, 2 Pb 3.30, 1 Dy 3.44
Dy (0.2500, 0.2500, 0.2755) [8 per cell]  2 Sn 3.00, 1 Dy 3.24, 2 Pb 3.27
Sn (0.0000, 0.2785, 0.0000) [4 per cell]  7 Dy 3.00-3.10
Pb (0.1845, 0.0000, 0.5000) [4 per cell]  6 Dy 3.27-3.30, 1 Pb 3.29

The density of states at the Fermi level is 13.1 states/eV/f.u. The energy of formation from the pure elements comes out at -0.205 eV per atom.

=====

Dy3SnPb2: relaxed, GGA-PBE.

abc: 16.8981 6.3599 6.3492
angles: 90.00 100.86 90.00
Last column: nearest neighbours and their distance in Å.
Space group C2/c (No. 15)
Unique sites:
Dy (0.0000, 0.1217, 0.2500) [4 per cell]  2 Sn 3.15-3.21, 4 Pb 3.20-3.50
Dy (0.1644, 0.3811, 0.5927) [8 per cell]  1 Sn 3.12, 3 Pb 3.14-3.22
Sn (0.0000, 0.3830, 0.7500) [4 per cell]  4 Dy 3.12-3.21
Pb (0.1662, 0.1126, 0.0777) [8 per cell]  6 Dy 3.14-3.52, 2 Pb 3.48

The density of states at the Fermi level is 1.8 states/eV/f.u. The energy of formation from the pure elements comes out at -0.527 eV per atom.

=====

DySn4Pb: relaxed, GGA-PBE.

abc: 8.7879 8.7879 8.7879
angles: 90.00 90.00 90.00
Last column: nearest neighbours and their distance in Å.
Space group F-43m (No. 216)
Unique sites:
Dy (0.0000, 0.0000, 0.0000) [4 per cell]  12 Sn 3.64, 4 Pb 3.81
Sn (0.1252, 0.1252, 0.6252) [16 per cell]  6 Sn 3.10-3.11
Pb (0.2500, 0.2500, 0.2500) [4 per cell]  12 Sn 3.64, 4 Dy 3.81

The density of states at the Fermi level is 4.2 states/eV/f.u. The energy of formation from the pure elements comes out at -0.103 eV per atom.

=====

DySn2Pb: relaxed, GGA-PBE.

abc: 4.1554 4.1554 6.4623
angles: 90.00 90.00 90.00
Last column: nearest neighbours and their distance in Å.
Space group P4/mmm (No. 123)
Unique sites:
Dy (0.0000, 0.0000, 0.0000) [1 per cell]  2 Pb 3.23, 8 Sn 3.31
Sn (0.5000, 0.5000, 0.2374) [2 per cell]  2 Sn 3.07-3.39, 4 Dy 3.31, 4 Pb 3.39
Pb (0.0000, 0.0000, 0.5000) [1 per cell]  2 Dy 3.23, 8 Sn 3.39

The density of states at the Fermi level is 1.9 states/eV/f.u. The energy of formation from the pure elements comes out at -0.314 eV per atom.